Entry P
ZrNiOs3: optimized geometry, PBE-GGA.

space-group type	Pm-3m (221)
size of the total moment	0.69	μB per atom

a = 4.7910 Å, b = 4.7910 Å, c = 4.7910 Å
α = 90.00°, β = 90.00°, γ = 90.00°
With the nearest neighbours (Å) after each atom.
Fractional positions:
Zr 0.0000 0.0000 0.0000  6 Os 2.40
Ni 0.5000 0.5000 0.5000  12 Os 3.39
Os 0.0000 0.0000 0.5000  2 Zr 2.40
Os 0.0000 0.5000 0.0000  2 Zr 2.40
Os 0.5000 0.0000 0.0000  2 Zr 2.40

***

Entry Q
ZrNiOs3: optimized geometry, PBE-GGA.

space-group type	Pm-3m (221)
size of the total moment	0.44	μB per atom

a = 4.4426 Å, b = 4.4426 Å, c = 4.4426 Å
α = 90.00°, β = 90.00°, γ = 90.00°
With the nearest neighbours (Å) after each atom.
Fractional positions:
Zr 0.0000 0.0000 0.0000  12 Os 3.14
Ni 0.5000 0.5000 0.5000  6 Os 2.22
Os 0.0000 0.5000 0.5000  2 Ni 2.22
Os 0.5000 0.0000 0.5000  2 Ni 2.22
Os 0.5000 0.5000 0.0000  2 Ni 2.22

***

Most stable to least stable: entry Q, entry P